# La2HfPd | the Alexandria database | PBE-GGA | optimized geometry
data_La2HfPd
_space_group_name_H-M_alt 'F m -3 m'
_space_group_IT_number 225
_space_group_name_Hall '-F 4 2 3'
_cell_length_a 7.5177
_cell_length_b 7.5177
_cell_length_c 7.5177
_cell_angle_alpha 90.00
_cell_angle_beta 90.00
_cell_angle_gamma 90.00
loop_
_atom_site_label
_atom_site_type_symbol
_atom_site_fract_x
_atom_site_fract_y
_atom_site_fract_z
La1 La 0.2500 0.2500 0.2500
Hf1 Hf 0.0000 0.0000 0.0000
Pd1 Pd 0.0000 0.0000 0.5000
# Density of states at the Fermi level in states/eV per atom: 1.73
# Energy relative to the elements in kcal/mol of atoms: 1.1
# Magnetization in μB/atom: 0.335
# Calculated total energy in eV/atom: -6.204

=====

# TbPr5Tm4 | the Alexandria database | PBE-GGA | optimized geometry
data_TbPr5Tm4
_space_group_name_H-M_alt 'P -1'
_space_group_IT_number 2
_space_group_name_Hall '-P 1'
_cell_length_a 3.6163
_cell_length_b 9.5175
_cell_length_c 10.2080
_cell_angle_alpha 73.91
_cell_angle_beta 89.98
_cell_angle_gamma 79.11
loop_
_atom_site_label
_atom_site_type_symbol
_atom_site_fract_x
_atom_site_fract_y
_atom_site_fract_z
Tb1 Tb 0.0000 0.0000 0.0000
Pr1 Pr 0.0000 0.0000 0.5000
Pr2 Pr 0.2007 0.5995 0.6008
Pr3 Pr 0.3993 0.2006 0.1933
Tm1 Tm 0.1994 0.6012 0.0999
Tm2 Tm 0.3986 0.2023 0.7053
# Density of states at the Fermi level in states/eV per atom: 1.23
# Energy relative to the elements in kcal/mol of atoms: 0.5
# Magnetization in μB/atom: 0.000
# Calculated total energy in eV/atom: -4.620

=====

# Ba4Sr8Li | the Alexandria database | PBE-GGA | optimized geometry
data_Ba4Sr8Li
_space_group_name_H-M_alt 'C 1 2/m 1'
_space_group_IT_number 12
_space_group_name_Hall '-C 2y'
_cell_length_a 11.7324
_cell_length_b 6.7760
_cell_length_c 18.3508
_cell_angle_alpha 90.00
_cell_angle_beta 102.51
_cell_angle_gamma 90.00
loop_
_atom_site_label
_atom_site_type_symbol
_atom_site_fract_x
_atom_site_fract_y
_atom_site_fract_z
Ba1 Ba 0.1175 0.0000 0.3447
Ba2 Ba 0.1525 0.5000 0.9575
Sr1 Sr 0.0393 0.0000 0.1160
Sr2 Sr 0.0708 0.5000 0.7175
Sr3 Sr 0.1878 0.0000 0.5700
Sr4 Sr 0.2339 0.5000 0.1980
Li1 Li 0.0000 0.5000 0.5000
# Density of states at the Fermi level in states/eV per atom: 1.34
# Energy relative to the elements in kcal/mol of atoms: 0.9
# Magnetization in μB/atom: 0.000
# Calculated total energy in eV/atom: -1.736

=====

# TlBI4 | the Alexandria database | PBE-GGA | optimized geometry
data_TlBI4
_space_group_name_H-M_alt 'P 1 21/c 1'
_space_group_IT_number 14
_space_group_name_Hall '-P 2ybc'
_cell_length_a 7.4340
_cell_length_b 13.2645
_cell_length_c 12.8393
_cell_angle_alpha 90.00
_cell_angle_beta 125.34
_cell_angle_gamma 90.00
loop_
_atom_site_label
_atom_site_type_symbol
_atom_site_fract_x
_atom_site_fract_y
_atom_site_fract_z
Tl1 Tl 0.1865 0.1826 0.2468
B1 B 0.3507 0.6884 0.7522
I1 I 0.0877 0.6039 0.7525
I2 I 0.3012 0.6429 0.2518
I3 I 0.3101 0.1484 0.5736
I4 I 0.3416 0.6480 0.5780
# Density of states at the Fermi level in states/eV per atom: 0.00
# Magnetization in μB/atom: 0.000
# Formation energy from raw total energies in eV per atom: -0.249
# Calculated total energy in eV/atom: -2.789